# MgTaZn2 | the Alexandria database | PBE | relaxed
data_MgTaZn2
_chemical_formula_sum 'Mg1 Ta1 Zn2'
_cell_length_a 4.145
_cell_length_b 4.145
_cell_length_c 3.799
_cell_angle_alpha 90.00
_cell_angle_beta 90.00
_cell_angle_gamma 90.00
_symmetry_space_group_name_H-M 'P 4/m m m'
_symmetry_Int_Tables_number 123
_symmetry_space_group_name_Hall '-P 4 2'
loop_
_atom_site_label
_atom_site_type_symbol
_atom_site_fract_x
_atom_site_fract_y
_atom_site_fract_z
Mg1 Mg 0.000 0.000 0.000
Ta1 Ta 0.500 0.500 0.000
Zn1 Zn 0.000 0.500 0.500
# **Volume**: 65 Å³/f.u.
# **DOS at the Fermi energy**: 2.1 states/eV/f.u.
# **ΔH_f (0 K)**: 0.20 eV/f.u.

---

# MgTaZn2 | the Alexandria database | PBE | relaxed
data_MgTaZn2
_chemical_formula_sum 'Mg4 Ta4 Zn8'
_cell_length_a 7.072
_cell_length_b 7.072
_cell_length_c 5.783
_cell_angle_alpha 90.00
_cell_angle_beta 90.00
_cell_angle_gamma 90.00
_symmetry_space_group_name_H-M 'I -4 2 d'
_symmetry_Int_Tables_number 122
_symmetry_space_group_name_Hall 'I -4 2bw'
loop_
_atom_site_label
_atom_site_type_symbol
_atom_site_fract_x
_atom_site_fract_y
_atom_site_fract_z
Mg1 Mg 0.000 0.000 0.000
Ta1 Ta 0.000 0.000 0.500
Zn1 Zn 0.245 0.250 0.125
# **Volume**: 72 Å³/f.u.
# **DOS at the Fermi energy**: 4.4 states/eV/f.u.
# **ΔH_f (0 K)**: 2.04 eV/f.u.

---

# MgTaZn | the Alexandria database | PBE | relaxed
data_MgTaZn
_chemical_formula_sum 'Mg4 Ta4 Zn4'
_cell_length_a 6.146
_cell_length_b 6.146
_cell_length_c 6.146
_cell_angle_alpha 90.00
_cell_angle_beta 90.00
_cell_angle_gamma 90.00
_symmetry_space_group_name_H-M 'F -4 3 m'
_symmetry_Int_Tables_number 216
_symmetry_space_group_name_Hall 'F -4 2 3'
loop_
_atom_site_label
_atom_site_type_symbol
_atom_site_fract_x
_atom_site_fract_y
_atom_site_fract_z
Mg1 Mg 0.000 0.000 0.000
Ta1 Ta 0.000 0.000 0.500
Zn1 Zn 0.250 0.250 0.750
# **Volume**: 58 Å³/f.u.
# **DOS at the Fermi energy**: 2.7 states/eV/f.u.
# **Offset from the most stable computed form**: 1.73 eV/f.u.
# **ΔH_f (0 K)**: 1.97 eV/f.u.

---

# MgZr3Ta | the Alexandria database | PBE | relaxed
data_MgZr3Ta
_chemical_formula_sum 'Mg1 Zr3 Ta1'
_cell_length_a 4.971
_cell_length_b 4.971
_cell_length_c 4.971
_cell_angle_alpha 90.00
_cell_angle_beta 90.00
_cell_angle_gamma 90.00
_symmetry_space_group_name_H-M 'P m -3 m'
_symmetry_Int_Tables_number 221
_symmetry_space_group_name_Hall '-P 4 2 3'
loop_
_atom_site_label
_atom_site_type_symbol
_atom_site_fract_x
_atom_site_fract_y
_atom_site_fract_z
Mg1 Mg 0.000 0.000 0.000
Zr1 Zr 0.000 0.000 0.500
Ta1 Ta 0.500 0.500 0.500
# **Volume**: 123 Å³/f.u.
# **DOS at the Fermi energy**: 9.8 states/eV/f.u.
# **Offset from the most stable computed form**: 2.99 eV/f.u.
# **ΔH_f (0 K)**: 7.21 eV/f.u.